Compound: ReRu2Br
Source: Alexandria via LeMat-Bulk
Functional: PBE
Structure: optimized geometry

Output
Offset from the most stable computed form, eV/atom: 0.588
Final energy, Ry/atom: -0.5196

Cell: 4.661 4.661 4.661 Å, 127.65 127.65 77.19°
Element x y z (fractional)
Re  0.000  0.000  0.000
Ru  0.250  0.750  0.500
Ru  0.750  0.250  0.500
Br  0.500  0.500  0.000

---

Compound: PrErN
Source: Alexandria via LeMat-Bulk
Functional: PBE
Structure: optimized geometry

Output
Offset from the most stable computed form, eV/atom: 0.000
Final energy, Ry/atom: -0.5020

Cell: 3.536 3.536 6.320 Å, 90.00 90.00 120.00°
Element x y z (fractional)
Pr  0.000  0.000  0.000
Er  0.333  0.667  0.436
N  0.667  0.333  0.259

---

Compound: AlFe3Ir
Source: Alexandria via LeMat-Bulk
Functional: PBE
Structure: optimized geometry

Output
Formation energy from the elements, kJ/mol of atoms: 115
Offset from the most stable computed form, eV/atom: 0.031
Final energy, Ry/atom: -0.4705

Cell: 4.223 4.223 4.223 Å, 90.00 90.00 90.00°
Element x y z (fractional)
Al  0.000  0.000  0.000
Fe  0.000  0.000  0.500
Fe  0.000  0.500  0.000
Fe  0.500  0.000  0.000
Ir  0.500  0.500  0.500